1.
The following is a DFT calculation (PBE) of an optimized crystal structure of Mg3VAs.

Symmetry: Pm-3m, No. 221
E in eV/atom: -2.7020
Formation enthalpy at 0 K in eV per atom: 1.01

Unit cell a=5.1382 b=5.1382 c=5.1382 alpha=90.00 beta=90.00 gamma=90.00
With the nearest neighbours (Å) after each atom.
Positions (direct):
Mg  0.0000  0.0000  0.5000  2 V 2.57
Mg  0.0000  0.5000  0.0000  2 V 2.57
Mg  0.5000  0.0000  0.0000  2 V 2.57
V  0.0000  0.0000  0.0000  6 Mg 2.57
As  0.5000  0.5000  0.5000  12 Mg 3.63

=====

2.
The following is a DFT calculation (PBE) of an optimized crystal structure of MnSi2Te.

Energy relative to the elements, uncorrected in eV per atom: 0.18
Symmetry: Amm2, No. 38
E in eV/atom: -5.6109

Unit cell a=3.5512 b=3.5103 c=11.8077 alpha=90.00 beta=90.00 gamma=90.00
With the nearest neighbours (Å) after each atom.
Positions (direct):
Mn  0.0000  0.0000  0.0000  4 Si 2.50-2.55, 4 Te 2.79
Mn  0.0000  0.5000  0.5000  4 Si 2.50-2.55, 4 Te 2.79
Si  0.0000  0.0000  0.6510  4 Si 2.50, 2 Mn 2.50
Si  0.0000  0.5000  0.1510  4 Si 2.50, 2 Mn 2.50
Si  0.5000  0.0000  0.1551  4 Si 2.50, 2 Mn 2.55
Si  0.5000  0.5000  0.6551  4 Si 2.50, 2 Mn 2.55
Te  0.5000  0.0000  0.3939  4 Mn 2.79, 1 Si 2.82
Te  0.5000  0.5000  0.8939  4 Mn 2.79, 1 Si 2.82

=====

Question: The lowest E belongs to which entry?
Answer: MnSi2Te